(1)
Density functional theory data (PBE) for a relaxed structure of Nb2PbCl.

Values from the calculation:
Magnetization: 0.24 μB/atom
Density: 9.09 Mg/m³

a = 4.802 Å, b = 4.802 Å, c = 4.802 Å
α = 60.00°, β = 60.00°, γ = 60.00°
Atoms (fractional coordinates):
1 Pb 0.500 0.500 0.500
2 Cl 0.000 0.000 0.000
3 Nb 0.250 0.250 0.250
4 Nb 0.750 0.750 0.750

(2)
Density functional theory data (PBE) for a relaxed structure of Nb2PbCl.

Values from the calculation:
Magnetization: 0.00 μB/atom
Density: 7.54 Mg/m³

a = 4.705 Å, b = 4.705 Å, c = 9.151 Å
α = 75.10°, β = 75.10°, γ = 90.00°
Atoms (fractional coordinates):
1 Cl 0.250 0.750 0.500
2 Cl 0.500 0.500 0.000
3 Nb 0.521 0.125 0.250
4 Nb 0.375 0.479 0.750
5 Nb 0.875 0.771 0.750
6 Nb 0.229 0.625 0.250
7 Pb 0.750 0.250 0.500
8 Pb 0.000 0.000 0.000

The structure with the least stability is (2).

(1)
Density functional theory data (PBE) for a relaxed structure of NbPbS2Cl.

Values from the calculation:
Magnetization: 0.00 μB/atom
Density: 5.24 Mg/m³

a = 5.030 Å, b = 5.030 Å, c = 5.004 Å
α = 90.00°, β = 90.00°, γ = 90.00°
Atoms (fractional coordinates):
1 Cl 0.000 0.000 0.500
2 Nb 0.000 0.000 0.000
3 Pb 0.500 0.500 0.500
4 S 0.000 0.500 0.000
5 S 0.500 0.000 0.000

(2)
Density functional theory data (PBE) for a relaxed structure of NbPbS2Cl.

Values from the calculation:
Magnetization: 0.59 μB/atom
Density: 4.68 Mg/m³

a = 5.254 Å, b = 5.254 Å, c = 5.142 Å
α = 90.00°, β = 90.00°, γ = 90.00°
Atoms (fractional coordinates):
1 S 0.000 0.500 0.000
2 S 0.500 0.000 0.000
3 Nb 0.500 0.500 0.500
4 Cl 0.000 0.000 0.500
5 Pb 0.000 0.000 0.000

The structure with the least stability is (2).

(1)
Density functional theory data (PBE) for a relaxed structure of NbPbSCl2.

Values from the calculation:
Magnetization: 0.68 μB/atom
Density: 4.26 Mg/m³

a = 5.373 Å, b = 5.373 Å, c = 5.445 Å
α = 90.00°, β = 90.00°, γ = 90.00°
Atoms (fractional coordinates):
1 Cl 0.000 0.500 0.000
2 Cl 0.500 0.000 0.000
3 S 0.000 0.000 0.500
4 Pb 0.000 0.000 0.000
5 Nb 0.500 0.500 0.500

(2)
Density functional theory data (PBE) for a relaxed structure of NbPbSCl2.

Values from the calculation:
Magnetization: 0.39 μB/atom
Density: 4.99 Mg/m³

a = 5.226 Å, b = 5.226 Å, c = 4.908 Å
α = 90.00°, β = 90.00°, γ = 90.00°
Atoms (fractional coordinates):
1 Nb 0.000 0.000 0.000
2 Cl 0.000 0.500 0.000
3 Cl 0.500 0.000 0.000
4 S 0.000 0.000 0.500
5 Pb 0.500 0.500 0.500

The structure with the least stability is (1).

(1)
Density functional theory data (PBE) for a relaxed structure of YNbPb2Cl.

Values from the calculation:
Magnetization: 0.00 μB/atom
Density: 7.24 Mg/m³

a = 5.411 Å, b = 4.946 Å, c = 5.411 Å
α = 90.00°, β = 90.00°, γ = 90.00°
Atoms (fractional coordinates):
1 Cl 0.000 0.000 0.000
2 Pb 0.500 0.000 0.000
3 Pb 0.000 0.000 0.500
4 Nb 0.500 0.500 0.500
5 Y 0.000 0.500 0.000

(2)
Density functional theory data (PBE) for a relaxed structure of YNbPb2Cl.

Values from the calculation:
Magnetization: 0.12 μB/atom
Density: 7.39 Mg/m³

a = 5.603 Å, b = 4.521 Å, c = 5.603 Å
α = 90.00°, β = 90.00°, γ = 90.00°
Atoms (fractional coordinates):
1 Cl 0.000 0.000 0.000
2 Pb 0.000 0.000 0.500
3 Pb 0.500 0.000 0.000
4 Nb 0.000 0.500 0.000
5 Y 0.500 0.500 0.500

The structure with the least stability is (1).

(1)
Density functional theory data (PBE) for a relaxed structure of NbPdCl3.

Values from the calculation:
Magnetization: 0.00 μB/atom
Density: 4.39 Mg/m³

a = 4.873 Å, b = 4.873 Å, c = 4.873 Å
α = 90.00°, β = 90.00°, γ = 90.00°
Atoms (fractional coordinates):
1 Cl 0.500 0.000 0.000
2 Cl 0.000 0.000 0.500
3 Cl 0.000 0.500 0.000
4 Pd 0.500 0.500 0.500
5 Nb 0.000 0.000 0.000

(2)
Density functional theory data (PBE) for a relaxed structure of NbPdCl3.

Values from the calculation:
Magnetization: 0.69 μB/atom
Density: 4.38 Mg/m³

a = 4.877 Å, b = 4.877 Å, c = 4.877 Å
α = 90.00°, β = 90.00°, γ = 90.00°
Atoms (fractional coordinates):
1 Cl 0.500 0.000 0.000
2 Cl 0.000 0.500 0.000
3 Cl 0.000 0.000 0.500
4 Nb 0.500 0.500 0.500
5 Pd 0.000 0.000 0.000

The structure with the least stability is (2).

(1)
Density functional theory data (PBE) for a relaxed structure of Nb3PtCl.

Values from the calculation:
Magnetization: 0.00 μB/atom
Density: 6.87 Mg/m³

a = 4.975 Å, b = 4.975 Å, c = 4.975 Å
α = 90.00°, β = 90.00°, γ = 90.00°
Atoms (fractional coordinates):
1 Nb 0.000 0.500 0.000
2 Nb 0.000 0.000 0.500
3 Nb 0.500 0.000 0.000
4 Cl 0.500 0.500 0.500
5 Pt 0.000 0.000 0.000

(2)
Density functional theory data (PBE) for a relaxed structure of Nb3PtCl.

Values from the calculation:
Magnetization: 0.00 μB/atom
Density: 9.20 Mg/m³

a = 4.512 Å, b = 4.512 Å, c = 4.512 Å
α = 90.00°, β = 90.00°, γ = 90.00°
Atoms (fractional coordinates):
1 Cl 0.000 0.000 0.000
2 Pt 0.500 0.500 0.500
3 Nb 0.000 0.000 0.500
4 Nb 0.500 0.000 0.000
5 Nb 0.000 0.500 0.000

The structure with the least stability is (1).

(1)
Density functional theory data (PBE) for a relaxed structure of Nb2PtCl.

Values from the calculation:
Magnetization: 0.00 μB/atom
Density: 7.45 Mg/m³

a = 5.729 Å, b = 5.729 Å, c = 6.954 Å
α = 65.67°, β = 65.67°, γ = 90.00°
Atoms (fractional coordinates):
1 Nb 0.875 0.869 0.750
2 Nb 0.131 0.625 0.250
3 Nb 0.375 0.381 0.750
4 Nb 0.619 0.125 0.250
5 Cl 0.500 0.500 0.000
6 Cl 0.250 0.750 0.500
7 Pt 0.000 0.000 0.000
8 Pt 0.750 0.250 0.500

(2)
Density functional theory data (PBE) for a relaxed structure of Nb2PtCl.

Values from the calculation:
Magnetization: 0.00 μB/atom
Density: 10.24 Mg/m³

a = 4.570 Å, b = 4.570 Å, c = 4.570 Å
α = 60.00°, β = 60.00°, γ = 60.00°
Atoms (fractional coordinates):
1 Nb 0.250 0.250 0.250
2 Nb 0.750 0.750 0.750
3 Cl 0.000 0.000 0.000
4 Pt 0.500 0.500 0.500

The structure with the least stability is (1).

(1)
Density functional theory data (PBE) for a relaxed structure of NbPtSCl2.

Values from the calculation:
Magnetization: 0.60 μB/atom
Density: 5.87 Mg/m³

a = 4.779 Å, b = 4.779 Å, c = 4.842 Å
α = 90.00°, β = 90.00°, γ = 90.00°
Atoms (fractional coordinates):
1 S 0.000 0.000 0.500
2 Cl 0.500 0.000 0.000
3 Cl 0.000 0.500 0.000
4 Nb 0.500 0.500 0.500
5 Pt 0.000 0.000 0.000

(2)
Density functional theory data (PBE) for a relaxed structure of NbPtSCl2.

Values from the calculation:
Magnetization: 0.05 μB/atom
Density: 5.83 Mg/m³

a = 4.792 Å, b = 4.792 Å, c = 4.847 Å
α = 90.00°, β = 90.00°, γ = 90.00°
Atoms (fractional coordinates):
1 Pt 0.500 0.500 0.500
2 Cl 0.000 0.500 0.000
3 Cl 0.500 0.000 0.000
4 Nb 0.000 0.000 0.000
5 S 0.000 0.000 0.500

The structure with the least stability is (1).

(1)
Density functional theory data (PBE) for a relaxed structure of NbPtS2Cl.

Values from the calculation:
Magnetization: 0.01 μB/atom
Density: 5.88 Mg/m³

a = 4.809 Å, b = 4.809 Å, c = 4.735 Å
α = 90.00°, β = 90.00°, γ = 90.00°
Atoms (fractional coordinates):
1 S 0.000 0.500 0.000
2 S 0.500 0.000 0.000
3 Nb 0.000 0.000 0.000
4 Pt 0.500 0.500 0.500
5 Cl 0.000 0.000 0.500

(2)
Density functional theory data (PBE) for a relaxed structure of NbPtS2Cl.

Values from the calculation:
Magnetization: 0.49 μB/atom
Density: 6.12 Mg/m³

a = 4.729 Å, b = 4.729 Å, c = 4.703 Å
α = 90.00°, β = 90.00°, γ = 90.00°
Atoms (fractional coordinates):
1 Nb 0.500 0.500 0.500
2 S 0.000 0.500 0.000
3 S 0.500 0.000 0.000
4 Pt 0.000 0.000 0.000
5 Cl 0.000 0.000 0.500

The structure with the least stability is (2).

(1)
Density functional theory data (PBE) for a relaxed structure of RbNb3Cl.

Values from the calculation:
Magnetization: 0.33 μB/atom
Density: 5.95 Mg/m³

a = 4.813 Å, b = 4.813 Å, c = 4.813 Å
α = 90.00°, β = 90.00°, γ = 90.00°
Atoms (fractional coordinates):
1 Rb 0.500 0.500 0.500
2 Nb 0.500 0.000 0.000
3 Nb 0.000 0.000 0.500
4 Nb 0.000 0.500 0.000
5 Cl 0.000 0.000 0.000

(2)
Density functional theory data (PBE) for a relaxed structure of RbNb3Cl.

Values from the calculation:
Magnetization: 0.00 μB/atom
Density: 5.56 Mg/m³

a = 4.924 Å, b = 4.924 Å, c = 4.924 Å
α = 90.00°, β = 90.00°, γ = 90.00°
Atoms (fractional coordinates):
1 Nb 0.000 0.000 0.500
2 Nb 0.500 0.000 0.000
3 Nb 0.000 0.500 0.000
4 Rb 0.000 0.000 0.000
5 Cl 0.500 0.500 0.500

The structure with the least stability is (2).

(1)
Density functional theory data (PBE) for a relaxed structure of RbNb2Cl.

Values from the calculation:
Magnetization: 0.39 μB/atom
Density: 6.02 Mg/m³

a = 4.928 Å, b = 4.928 Å, c = 4.928 Å
α = 60.00°, β = 60.00°, γ = 60.00°
Atoms (fractional coordinates):
1 Cl 0.000 0.000 0.000
2 Rb 0.500 0.500 0.500
3 Nb 0.250 0.250 0.250
4 Nb 0.750 0.750 0.750

(2)
Density functional theory data (PBE) for a relaxed structure of RbNb2Cl.

Values from the calculation:
Magnetization: 0.00 μB/atom
Density: 4.34 Mg/m³

a = 3.965 Å, b = 3.965 Å, c = 15.180 Å
α = 82.50°, β = 82.50°, γ = 90.00°
Atoms (fractional coordinates):
1 Cl 0.250 0.750 0.500
2 Cl 0.500 0.500 0.000
3 Nb 0.123 0.125 0.250
4 Nb 0.375 0.877 0.750
5 Nb 0.875 0.373 0.750
6 Nb 0.627 0.625 0.250
7 Rb 0.000 0.000 0.000
8 Rb 0.750 0.250 0.500

The structure with the least stability is (1).

(1)
Density functional theory data (PBE) for a relaxed structure of RbNbSCl2.

Values from the calculation:
Magnetization: 0.40 μB/atom
Density: 2.52 Mg/m³

a = 5.684 Å, b = 5.684 Å, c = 5.745 Å
α = 90.00°, β = 90.00°, γ = 90.00°
Atoms (fractional coordinates):
1 Cl 0.000 0.500 0.000
2 Cl 0.500 0.000 0.000
3 Nb 0.500 0.500 0.500
4 S 0.000 0.000 0.500
5 Rb 0.000 0.000 0.000

(2)
Density functional theory data (PBE) for a relaxed structure of RbNbSCl2.

Values from the calculation:
Magnetization: 0.34 μB/atom
Density: 3.59 Mg/m³

a = 5.202 Å, b = 5.202 Å, c = 4.813 Å
α = 90.00°, β = 90.00°, γ = 90.00°
Atoms (fractional coordinates):
1 Nb 0.000 0.000 0.000
2 Rb 0.500 0.500 0.500
3 S 0.000 0.000 0.500
4 Cl 0.000 0.500 0.000
5 Cl 0.500 0.000 0.000

The structure with the least stability is (1).

(1)
Density functional theory data (PBE) for a relaxed structure of NbReCl2.

Values from the calculation:
Magnetization: 0.00 μB/atom
Density: 9.51 Mg/m³

a = 4.422 Å, b = 4.422 Å, c = 4.422 Å
α = 60.00°, β = 60.00°, γ = 60.00°
Atoms (fractional coordinates):
1 Cl 0.250 0.250 0.250
2 Cl 0.750 0.750 0.750
3 Nb 0.000 0.000 0.000
4 Re 0.500 0.500 0.500

(2)
Density functional theory data (PBE) for a relaxed structure of NbReCl2.

Values from the calculation:
Magnetization: 0.00 μB/atom
Density: 8.76 Mg/m³

a = 8.606 Å, b = 8.606 Å, c = 8.606 Å
α = 20.17°, β = 20.17°, γ = 20.17°
Atoms (fractional coordinates):
1 Re 0.000 0.000 0.000
2 Cl 0.907 0.907 0.907
3 Cl 0.093 0.093 0.093
4 Nb 0.500 0.500 0.500

The structure with the least stability is (1).

(1)
Density functional theory data (PBE) for a relaxed structure of Nb2ReCl.

Values from the calculation:
Magnetization: 0.00 μB/atom
Density: 9.42 Mg/m³

a = 6.826 Å, b = 6.826 Å, c = 5.728 Å
α = 53.43°, β = 53.43°, γ = 90.00°
Atoms (fractional coordinates):
1 Nb 0.602 0.125 0.250
2 Nb 0.375 0.398 0.750
3 Nb 0.875 0.852 0.750
4 Nb 0.148 0.625 0.250
5 Cl 0.250 0.750 0.500
6 Cl 0.500 0.500 0.000
7 Re 0.000 0.000 0.000
8 Re 0.750 0.250 0.500

(2)
Density functional theory data (PBE) for a relaxed structure of Nb2ReCl.

Values from the calculation:
Magnetization: 0.00 μB/atom
Density: 9.99 Mg/m³

a = 4.576 Å, b = 4.576 Å, c = 4.576 Å
α = 60.00°, β = 60.00°, γ = 60.00°
Atoms (fractional coordinates):
1 Cl 0.000 0.000 0.000
2 Nb 0.250 0.250 0.250
3 Nb 0.750 0.750 0.750
4 Re 0.500 0.500 0.500

The structure with the least stability is (1).